Al2CrCdIn GGA-PBEsol optimized geometry; formation energy = 1112 meV per atom
1.0
4.9336 0.0000 0.0000
0.0000 4.9336 0.0000
0.0000 0.0000 5.4182
Cr Cd Al In
1 1 2 1
direct
0.5000 0.5000 0.5000 Cr
0.0000 0.0000 0.0000 Cd
0.0000 0.5000 0.0000 Al
0.5000 0.0000 0.0000 Al
0.0000 0.0000 0.5000 In

***

LiGaAu GGA-PBEsol optimized geometry; formation energy = -466 meV per atom
1.0
4.5777 0.0000 0.0000
0.0000 4.7074 0.0025
0.0000 -2.1935 4.1652
Au Ga Li
2 2 2
direct
0.7500 0.5493 0.0672 Au
0.2500 0.9328 0.4507 Au
0.2500 0.2569 0.1131 Ga
0.7500 0.8869 0.7431 Ga
0.2500 0.5872 0.7798 Li
0.7500 0.2202 0.4128 Li

***

CoOsCl2 GGA-PBEsol optimized geometry; offset from the most stable computed form = 0 meV/atom; raw formation energy = 432 meV per atom
1.0
-2.3798 1.0819 1.0600
0.6574 -2.8259 0.6067
4.4581 2.6131 7.3413
Co Os Cl
1 1 2
direct
0.0000 0.0000 0.5054 Co
0.5000 0.0000 0.7321 Os
0.0000 0.0000 0.9486 Cl
0.5000 0.0000 0.3139 Cl